# 1
Computed, not measured: a relaxed structure of KLiSe4 at the PBEsol level of DFT.

a b c (Å): 8.277 8.277 8.277
angles (deg): 90.00 90.00 90.00
Space group F-43m (No. 216)
Unique sites:
K1 0.000 0.000 0.000 x4
Li1 0.250 0.250 0.250 x4
Se1 0.125 0.125 0.625 x16

Values from the calculation:
**Magnetic moment**: 0.00 μB/atom
**Uncorrected energy**: -3.375 eV per atom
**Crystal system**: cubic

---

# 2
Computed, not measured: a relaxed structure of KLiSe3 at the PBEsol level of DFT.

a b c (Å): 4.824 4.824 4.824
angles (deg): 90.00 90.00 90.00
Space group Pm-3m (No. 221)
Unique sites:
K1 0.000 0.000 0.000 x1
Li1 0.500 0.500 0.500 x1
Se1 0.000 0.500 0.500 x3

Values from the calculation:
**Magnetic moment**: 0.00 μB/atom
**Uncorrected energy**: -3.226 eV per atom
**Crystal system**: cubic

---

# 3
Computed, not measured: a relaxed structure of KLi2Se at the PBEsol level of DFT.

a b c (Å): 7.299 4.210 7.739
angles (deg): 90.00 108.36 90.00
Space group Cm (No. 8)
Unique sites:
K1 0.000 0.000 0.000 x2
Li1 0.047 0.500 0.637 x2
Li2 0.313 0.500 0.434 x2
Se1 0.198 0.000 0.591 x2

Values from the calculation:
**Magnetic moment**: 0.00 μB/atom
**Uncorrected energy**: -3.003 eV per atom
**Crystal system**: monoclinic

---

# 4
Computed, not measured: a relaxed structure of K2LiSi at the PBEsol level of DFT.

a b c (Å): 4.550 4.804 5.443
angles (deg): 90.00 90.00 90.00
Space group Pmmm (No. 47)
Unique sites:
K1 0.000 0.000 0.000 x1
K2 0.500 0.500 0.000 x1
Li1 0.000 0.500 0.500 x1
Si1 0.500 0.000 0.500 x1

Values from the calculation:
**Magnetic moment**: 0.00 μB/atom
**Uncorrected energy**: -2.109 eV per atom
**Crystal system**: orthorhombic

---

# 5
Computed, not measured: a relaxed structure of KLi3Sn at the PBEsol level of DFT.

a b c (Å): 5.294 5.294 5.294
angles (deg): 90.00 90.00 90.00
Space group Pm-3m (No. 221)
Unique sites:
K1 0.000 0.000 0.000 x1
Li1 0.000 0.500 0.500 x3
Sn1 0.500 0.500 0.500 x1

Values from the calculation:
**Magnetic moment**: 0.00 μB/atom
**Crystal system**: cubic
**Formation energy**: -0.20 eV per atom
**Polymorph energy (0 for the lowest one)**: 0 meV per atom

---

# 6
Computed, not measured: a relaxed structure of KLi2Sn at the PBEsol level of DFT.

a b c (Å): 5.325 5.325 18.917
angles (deg): 90.00 90.00 90.00
Space group I-42d (No. 122)
Unique sites:
K1 0.000 0.000 0.000 x4
Li1 0.017 0.250 0.625 x8
Sn1 0.000 0.000 0.500 x4

Values from the calculation:
**Magnetic moment**: 0.00 μB/atom
**Crystal system**: tetragonal
**Formation energy**: -0.01 eV per atom